A relaxed structure of TiZn2Pt, computed with PBE-GGA. Values from VASP.

Geometry as Quantum ESPRESSO input:
```
&SYSTEM
  ibrav = 0, nat = 4, ntyp = 3
/
ATOMIC_SPECIES
Pt 195.08 Pt.upf
Zn 65.41 Zn.upf
Ti 47.87 Ti.upf
CELL_PARAMETERS angstrom
0.0000 3.0871 3.0871
3.0871 0.0000 3.0871
3.0871 3.0871 0.0000
ATOMIC_POSITIONS angstrom
Pt 3.0871 3.0871 3.0871
Zn 4.6307 4.6307 4.6307
Ti 0.0000 0.0000 0.0000
Zn 1.5436 1.5436 1.5436
```

Output
Total magnetization   0.000 μB per cell
ΔE_f   -467 meV per atom